Entry 1:
First-principles (PBE-GGA) data for an optimized crystal structure of La8PdRu3, as listed in Alexandria via LeMat-Bulk.

Values from the calculation:
Symmetry = Cm, No. 8
ΔH_f (0 K) = -0.260 eV/atom

Unit cell a=5.727 b=9.190 c=9.147 alpha=107.50 beta=108.24 gamma=90.00
Element x y z (fractional)
La1 0.659 0.006 0.318
La2 0.224 0.322 0.449
Ru1 0.395 0.296 0.791
La3 0.115 0.688 0.230
Pd1 0.286 0.677 0.572
Ru2 0.605 0.695 0.211
La4 0.559 0.341 0.118
La5 0.770 0.661 0.541
La6 0.451 0.653 0.901
La7 0.344 0.012 0.688
Ru3 0.706 0.301 0.412
La8 0.883 0.320 0.765



Entry 2:
First-principles (PBE-GGA) data for an optimized crystal structure of La6PdRu3, as listed in Alexandria via LeMat-Bulk.

Values from the calculation:
Symmetry = P2_1/m, No. 11
ΔH_f (0 K) = -0.355 eV/atom

Unit cell a=4.200 b=12.011 c=12.055 alpha=110.51 beta=90.00 gamma=90.00
Element x y z (fractional)
La1 0.750 0.263 0.723
La2 0.250 0.400 0.552
Pd1 0.750 0.699 0.064
La3 0.750 0.600 0.448
Pd2 0.250 0.301 0.936
Ru1 0.750 0.088 0.162
La4 0.750 0.058 0.391
La5 0.750 0.755 0.772
La6 0.250 0.737 0.277
La7 0.250 0.549 0.889
Ru2 0.250 0.487 0.284
La8 0.250 0.245 0.228
Ru3 0.250 0.912 0.838
La9 0.250 0.906 0.069
Ru4 0.750 0.513 0.716
La10 0.250 0.942 0.609
Ru5 0.250 0.174 0.550
La11 0.750 0.094 0.931
Ru6 0.750 0.826 0.450
La12 0.750 0.451 0.111



Entry 3:
First-principles (PBE-GGA) data for an optimized crystal structure of La3PdRu, as listed in Alexandria via LeMat-Bulk.

Values from the calculation:
Symmetry = P-1, No. 2
ΔH_f (0 K) = -0.465 eV/atom

Unit cell a=6.419 b=6.922 c=9.064 alpha=103.96 beta=107.49 gamma=121.56
Element x y z (fractional)
Ru1 0.775 0.664 0.037
Pd1 0.470 0.780 0.497
La1 0.624 0.189 0.847
La2 0.133 0.220 0.228
La3 0.867 0.780 0.772
Ru2 0.225 0.336 0.963
La4 0.880 0.648 0.339
Pd2 0.530 0.220 0.503
La5 0.120 0.352 0.661
La6 0.376 0.811 0.153



Entry 4:
First-principles (PBE-GGA) data for an optimized crystal structure of LaPdRu3, as listed in Alexandria via LeMat-Bulk.

Values from the calculation:
Symmetry = Pm-3m, No. 221
ΔH_f (0 K) = 1.844 eV/atom

Unit cell a=4.755 b=4.755 c=4.755 alpha=90.00 beta=90.00 gamma=90.00
Element x y z (fractional)
Ru1 0.500 0.000 0.000
Ru2 0.000 0.000 0.500
La1 0.000 0.000 0.000
Pd1 0.500 0.500 0.500
Ru3 0.000 0.500 0.000



Entry 5:
First-principles (PBE-GGA) data for an optimized crystal structure of LaPdRu2, as listed in Alexandria via LeMat-Bulk.

Values from the calculation:
Symmetry = I-42d, No. 122
ΔH_f (0 K) = 0.196 eV/atom

Unit cell a=4.128 b=4.128 c=10.193 alpha=78.32 beta=78.32 gamma=90.00
Element x y z (fractional)
Ru1 0.526 0.125 0.250
La1 0.000 0.000 0.000
La2 0.750 0.250 0.500
Ru2 0.875 0.776 0.750
Pd1 0.250 0.750 0.500
Pd2 0.500 0.500 0.000
Ru3 0.375 0.474 0.750
Ru4 0.224 0.625 0.250



Entry 6:
First-principles (PBE-GGA) data for an optimized crystal structure of La2PdRu2, as listed in Alexandria via LeMat-Bulk.

Values from the calculation:
Symmetry = P4/mbm, No. 127
ΔH_f (0 K) = -0.241 eV/atom

Unit cell a=7.205 b=7.205 c=4.196 alpha=90.00 beta=90.00 gamma=90.00
Element x y z (fractional)
Ru1 0.125 0.375 0.000
Pd1 0.000 0.000 0.000
La1 0.189 0.689 0.500
Ru2 0.375 0.875 0.000
Pd2 0.500 0.500 0.000
La2 0.811 0.311 0.500
La3 0.311 0.189 0.500
La4 0.689 0.811 0.500
Ru3 0.875 0.625 0.000
Ru4 0.625 0.125 0.000



Entry 7:
First-principles (PBE-GGA) data for an optimized crystal structure of LaPdRu2, as listed in Alexandria via LeMat-Bulk.

Values from the calculation:
Symmetry = Fm-3m, No. 225
ΔH_f (0 K) = 0.266 eV/atom

Unit cell a=4.677 b=4.677 c=4.677 alpha=60.00 beta=60.00 gamma=60.00
Element x y z (fractional)
La1 0.500 0.500 0.500
Ru1 0.750 0.750 0.750
Ru2 0.250 0.250 0.250
Pd1 0.000 0.000 0.000



Entry 8:
First-principles (PBE-GGA) data for an optimized crystal structure of La5PdRu2, as listed in Alexandria via LeMat-Bulk.

Values from the calculation:
Symmetry = I4/mcm, No. 140
ΔH_f (0 K) = -0.415 eV/atom

Unit cell a=7.874 b=7.874 c=8.945 alpha=116.11 beta=116.11 gamma=90.00
Element x y z (fractional)
La1 0.802 0.969 0.271
Ru1 0.139 0.361 0.000
La2 0.531 0.698 0.729
La3 0.031 0.531 0.729
Ru2 0.361 0.861 0.000
La4 0.198 0.031 0.729
La5 0.500 0.500 0.000
La6 0.969 0.469 0.271
La7 0.302 0.802 0.271
La8 0.000 0.000 0.000
Pd1 0.750 0.750 0.500
La9 0.698 0.198 0.729
La10 0.469 0.302 0.271
Pd2 0.250 0.250 0.500
Ru3 0.639 0.139 0.000
Ru4 0.861 0.639 0.000



Entry 9:
First-principles (PBE-GGA) data for an optimized crystal structure of La6PdRu2, as listed in Alexandria via LeMat-Bulk.

Values from the calculation:
Symmetry = C2/m, No. 12
ΔH_f (0 K) = -0.354 eV/atom

Unit cell a=4.292 b=6.507 c=11.504 alpha=107.79 beta=90.00 gamma=109.26
Element x y z (fractional)
La1 0.327 0.653 0.405
Pd1 0.000 0.000 0.500
La2 0.992 0.984 0.238
La3 0.008 0.016 0.762
Ru1 0.331 0.663 0.172
Ru2 0.669 0.337 0.828
La4 0.673 0.347 0.595
La5 0.669 0.338 0.083
La6 0.331 0.662 0.917



Entry 10:
First-principles (PBE-GGA) data for an optimized crystal structure of LaPdRu3, as listed in Alexandria via LeMat-Bulk.

Values from the calculation:
Symmetry = Pm-3m, No. 221
ΔH_f (0 K) = 1.103 eV/atom

Unit cell a=4.806 b=4.806 c=4.806 alpha=90.00 beta=90.00 gamma=90.00
Element x y z (fractional)
Ru1 0.000 0.000 0.500
Ru2 0.000 0.500 0.000
Ru3 0.500 0.000 0.000
Pd1 0.000 0.000 0.000
La1 0.500 0.500 0.500



Entry 11:
First-principles (PBE-GGA) data for an optimized crystal structure of La3PdRu, as listed in Alexandria via LeMat-Bulk.

Values from the calculation:
Symmetry = P2_1/c, No. 14
ΔH_f (0 K) = -0.484 eV/atom

Unit cell a=8.656 b=7.606 c=8.912 alpha=90.00 beta=73.26 gamma=90.00
Element x y z (fractional)
Pd1 0.181 0.464 0.910
La1 0.396 0.156 0.777
Pd2 0.681 0.036 0.910
La2 0.782 0.988 0.541
La3 0.896 0.344 0.777
La4 0.718 0.488 0.459
Ru1 0.517 0.192 0.436
Pd3 0.819 0.536 0.090
La5 0.604 0.844 0.223
La6 0.104 0.656 0.223
La7 0.218 0.012 0.459
La8 0.282 0.512 0.541
La9 0.498 0.689 0.846
La10 0.002 0.189 0.154
La11 0.502 0.311 0.154
La12 0.998 0.811 0.846
Pd4 0.319 0.964 0.090
Ru2 0.983 0.692 0.564
Ru3 0.017 0.308 0.436
Ru4 0.483 0.808 0.564



Entry 12:
First-principles (PBE-GGA) data for an optimized crystal structure of La3Pd2Ru, as listed in Alexandria via LeMat-Bulk.

Values from the calculation:
Symmetry = P2/m, No. 10
ΔH_f (0 K) = -0.579 eV/atom

Unit cell a=5.134 b=8.082 c=7.339 alpha=90.00 beta=90.00 gamma=71.29
Element x y z (fractional)
Pd1 0.000 0.000 0.500
Ru1 0.337 0.326 0.000
Pd2 0.335 0.329 0.500
Pd3 0.000 0.000 0.000
Pd4 0.665 0.671 0.500
Ru2 0.663 0.674 0.000
La1 0.171 0.659 0.761
La2 0.171 0.659 0.239
La3 0.500 0.000 0.758
La4 0.829 0.341 0.239
La5 0.829 0.341 0.761
La6 0.500 0.000 0.242



Entry 13:
First-principles (PBE-GGA) data for an optimized crystal structure of La8Pd2Ru, as listed in Alexandria via LeMat-Bulk.

Values from the calculation:
Symmetry = C2/m, No. 12
ΔH_f (0 K) = -0.368 eV/atom

Unit cell a=4.076 b=9.069 c=9.798 alpha=93.70 beta=102.00 gamma=90.00
Element x y z (fractional)
La1 0.596 0.531 0.192
La2 0.404 0.469 0.808
La3 0.991 0.790 0.982
La4 0.350 0.019 0.700
La5 0.650 0.981 0.300
Pd1 0.832 0.264 0.664
La6 0.777 0.663 0.555
Ru1 0.500 0.000 0.000
La7 0.223 0.337 0.445
La8 0.009 0.210 0.018
Pd2 0.168 0.736 0.336



Entry 14:
First-principles (PBE-GGA) data for an optimized crystal structure of La3PdRu, as listed in Alexandria via LeMat-Bulk.

Values from the calculation:
Symmetry = Pm-3m, No. 221
ΔH_f (0 K) = -0.159 eV/atom

Unit cell a=5.426 b=5.426 c=5.426 alpha=90.00 beta=90.00 gamma=90.00
Element x y z (fractional)
Ru1 0.000 0.000 0.000
La1 0.500 0.000 0.000
La2 0.000 0.000 0.500
Pd1 0.500 0.500 0.500
La3 0.000 0.500 0.000



Entry 15:
First-principles (PBE-GGA) data for an optimized crystal structure of La2PdRu2, as listed in Alexandria via LeMat-Bulk.

Values from the calculation:
Symmetry = I4/mmm, No. 139
ΔH_f (0 K) = -0.136 eV/atom

Unit cell a=3.630 b=3.630 c=9.086 alpha=78.48 beta=78.48 gamma=90.00
Element x y z (fractional)
Pd1 0.000 0.000 0.000
La1 0.606 0.606 0.787
Ru1 0.250 0.750 0.500
Ru2 0.750 0.250 0.500
La2 0.394 0.394 0.213



Entry 16:
First-principles (PBE-GGA) data for an optimized crystal structure of La8PdRu2, as listed in Alexandria via LeMat-Bulk.

Values from the calculation:
Symmetry = Cm, No. 8
ΔH_f (0 K) = -0.230 eV/atom

Unit cell a=6.257 b=7.933 c=7.933 alpha=115.79 beta=100.36 gamma=100.36
Element x y z (fractional)
La1 0.576 0.345 0.091
La2 0.422 0.915 0.661
La3 0.576 0.091 0.345
Pd1 0.007 0.003 0.003
La4 0.422 0.661 0.915
La5 0.999 0.224 0.781
La6 0.817 0.633 0.633
Ru1 0.500 0.294 0.713
La7 0.999 0.781 0.224
Ru2 0.500 0.713 0.294
La8 0.182 0.373 0.373



Entry 17:
First-principles (PBE-GGA) data for an optimized crystal structure of La6PdRu2, as listed in Alexandria via LeMat-Bulk.

Values from the calculation:
Symmetry = C2/c, No. 15
ΔH_f (0 K) = -0.329 eV/atom

Unit cell a=6.477 b=9.514 c=9.514 alpha=69.00 beta=75.26 gamma=75.26
Element x y z (fractional)
La1 0.798 0.931 0.430
La2 0.647 0.971 0.822
Pd1 0.750 0.747 0.253
La3 0.298 0.430 0.931
La4 0.350 0.677 0.531
La5 0.850 0.531 0.677
Ru1 0.501 0.241 0.259
La6 0.853 0.178 0.029
La7 0.202 0.069 0.570
La8 0.353 0.029 0.178
La9 0.650 0.323 0.469
La10 0.147 0.822 0.971
Ru2 0.499 0.759 0.741
Ru3 0.001 0.259 0.241
La11 0.150 0.469 0.323
Ru4 0.999 0.741 0.759
Pd2 0.250 0.253 0.747
La12 0.702 0.570 0.069



Entry 18:
First-principles (PBE-GGA) data for an optimized crystal structure of La2PdRuS, as listed in Alexandria via LeMat-Bulk.

Values from the calculation:
Symmetry = P4/mmm, No. 123
ΔE_f (raw) = 0.12 eV/f.u.

Unit cell a=5.662 b=4.609 c=5.662 alpha=90.00 beta=90.00 gamma=90.00
Element x y z (fractional)
La1 0.500 0.000 0.000
La2 0.000 0.000 0.500
Ru1 0.000 0.500 0.000
S1 0.500 0.500 0.500
Pd1 0.000 0.000 0.000



Entry 19:
First-principles (PBE-GGA) data for an optimized crystal structure of La2ScPdRu, as listed in Alexandria via LeMat-Bulk.

Values from the calculation:
Symmetry = P4/mmm, No. 123
ΔH_f (0 K) = -0.149 eV/atom

Unit cell a=5.418 b=4.954 c=5.418 alpha=90.00 beta=90.00 gamma=90.00
Element x y z (fractional)
La1 0.500 0.000 0.000
Sc1 0.000 0.500 0.000
Pd1 0.500 0.500 0.500
La2 0.000 0.000 0.500
Ru1 0.000 0.000 0.000



Entry 20:
First-principles (PBE-GGA) data for an optimized crystal structure of LaThPdRu, as listed in Alexandria via LeMat-Bulk.

Values from the calculation:
Symmetry = F-43m, No. 216
ΔH_f (0 K) = -0.482 eV/atom

Unit cell a=5.085 b=5.085 c=5.085 alpha=60.00 beta=60.00 gamma=60.00
Element x y z (fractional)
La1 0.750 0.750 0.750
Pd1 0.500 0.500 0.500
Th1 0.250 0.250 0.250
Ru1 0.000 0.000 0.000



no.,spin magnetization (Bohr magnetons per cell)
1,0.00
2,0.00
3,0.00
4,3.63
5,1.68
6,0.00
7,2.59
8,0.00
9,0.00
10,4.41
11,0.00
12,0.00
13,0.00
14,0.00
15,0.00
16,0.00
17,0.00
18,0.32
19,0.00
20,0.00